{"formula": "Mn2CrHg2", "functional": "PBE-GGA", "state": "relaxed", "e_tot_ev_per_atom": -4.6347, "sg": "P4/mbm", "delta_e_f_ev_per_atom": 1.0786, "n_ef_per_ev_cell": 11.2, "relative_energy_ev_per_atom": 0.173, "lattice": [[7.6546, 0.0000, 0.0000], [0.0000, 7.6546, 0.0000], [0.0000, 0.0000, 2.8084]], "species": ["Mn", "Mn", "Mn", "Mn", "Cr", "Cr", "Hg", "Hg", "Hg", "Hg"], "frac_coords": [[0.0917, 0.4083, 0.0000], [0.4083, 0.9083, 0.0000], [0.5917, 0.0917, 0.0000], [0.9083, 0.5917, 0.0000], [0.0000, 0.0000, 0.5000], [0.5000, 0.5000, 0.5000], [0.1967, 0.6967, 0.5000], [0.3033, 0.1967, 0.5000], [0.6967, 0.8033, 0.5000], [0.8033, 0.3033, 0.5000]]}